1.
VASP calculation (PBE) on a relaxed structure of TcNi.

```
data_TcNi
_symmetry_space_group_name_H-M 'P -3 m 1'
_symmetry_Int_Tables_number 164
_symmetry_space_group_name_Hall '-P 3 2"'
_cell_length_a 2.7001
_cell_length_b 2.7001
_cell_length_c 8.2478
_cell_angle_alpha 90.00
_cell_angle_beta 90.00
_cell_angle_gamma 120.00
loop_
_atom_site_label
_atom_site_fract_x
_atom_site_fract_y
_atom_site_fract_z
_atom_site_occupancy
Tc1 0.3333 0.6667 0.3716 1
Ni1 0.3333 0.6667 0.8806 1
```

Output
The crystal system is trigonal. For the formation energy, the calculation gives 70 meV/atom.

***

2.
VASP calculation (PBE) on a relaxed structure of Tc2Ni3.

```
data_Tc2Ni3
_symmetry_space_group_name_H-M 'F d d 2'
_symmetry_Int_Tables_number 43
_symmetry_space_group_name_Hall 'F 2 -2d'
_cell_length_a 8.650
_cell_length_b 12.589
_cell_length_c 4.570
_cell_angle_alpha 90.00
_cell_angle_beta 90.00
_cell_angle_gamma 90.00
loop_
_atom_site_label
_atom_site_fract_x
_atom_site_fract_y
_atom_site_fract_z
_atom_site_occupancy
Tc1 0.024 0.203 0.000 1
Ni1 0.000 0.000 0.051 1
Ni2 0.031 0.099 0.520 1
```

Output
The crystal system is orthorhombic. For the formation energy, the calculation gives 113 meV/atom.

***

3.
VASP calculation (PBE) on a relaxed structure of TcNi.

```
data_TcNi
_symmetry_space_group_name_H-M 'P 42/m n m'
_symmetry_Int_Tables_number 136
_symmetry_space_group_name_Hall '-P 4n 2n'
_cell_length_a 4.814
_cell_length_b 4.814
_cell_length_c 4.846
_cell_angle_alpha 90.00
_cell_angle_beta 90.00
_cell_angle_gamma 90.00
loop_
_atom_site_label
_atom_site_fract_x
_atom_site_fract_y
_atom_site_fract_z
_atom_site_occupancy
Tc1 0.178 0.178 0.000 1
Ni1 0.175 0.175 0.500 1
```

Output
The crystal system is tetragonal. For the formation energy, the calculation gives 719 meV/atom.

***

4.
VASP calculation (PBE) on a relaxed structure of TcNi5.

```
data_TcNi5
_symmetry_space_group_name_H-M 'P 6/m m m'
_symmetry_Int_Tables_number 191
_symmetry_space_group_name_Hall '-P 6 2'
_cell_length_a 4.6185
_cell_length_b 4.6185
_cell_length_c 4.0004
_cell_angle_alpha 90.00
_cell_angle_beta 90.00
_cell_angle_gamma 120.00
loop_
_atom_site_label
_atom_site_fract_x
_atom_site_fract_y
_atom_site_fract_z
_atom_site_occupancy
Tc1 0.0000 0.0000 0.0000 1
Ni1 0.0000 0.5000 0.5000 1
Ni2 0.3333 0.6667 0.0000 1
```

Output
The crystal system is hexagonal. For the formation energy, the calculation gives 314 meV/atom.

***

Result set for total magnetization: 0.11 0.00 0.00 5.28 μB per formula unit, one per record in the order listed.